1.
# PmPrY2S4, optimized geometry, DFT PBE-GGA
# uncorrected formation energy = -2.014 eV per atom
# density of states at the Fermi level = 4.41 states/eV/f.u.
# final energy = -6.885 eV per atom
data_PmPrY2S4
_space_group_name_H-M_alt 'P 1 2/m 1'
_space_group_IT_number 10
_space_group_name_Hall '-P 2y'
_cell_length_a 6.882
_cell_length_b 3.942
_cell_length_c 7.021
_cell_angle_alpha 90.00
_cell_angle_beta 108.83
_cell_angle_gamma 90.00
loop_
_atom_site_label
_atom_site_type_symbol
_atom_site_fract_x
_atom_site_fract_y
_atom_site_fract_z
Pm1 Pm 0.000 0.000 0.000
Pr1 Pr 0.500 0.500 0.000
Y1 Y 0.000 0.500 0.500
Y2 Y 0.500 0.000 0.500
S1 S 0.242 0.000 0.734
S2 S 0.252 0.500 0.264

2.
# ScOsSe2Br, optimized geometry, DFT PBE-GGA
# uncorrected formation energy = 0.250 eV per atom
# density of states at the Fermi level = 5.89 states/eV/f.u.
# final energy = -4.991 eV per atom
data_ScOsSe2Br
_space_group_name_H-M_alt 'P 4/m m m'
_space_group_IT_number 123
_space_group_name_Hall '-P 4 2'
_cell_length_a 4.892
_cell_length_b 4.892
_cell_length_c 5.002
_cell_angle_alpha 90.00
_cell_angle_beta 90.00
_cell_angle_gamma 90.00
loop_
_atom_site_label
_atom_site_type_symbol
_atom_site_fract_x
_atom_site_fract_y
_atom_site_fract_z
Sc1 Sc 0.000 0.000 0.000
Os1 Os 0.500 0.500 0.500
Se1 Se 0.000 0.500 0.500
Br1 Br 0.500 0.500 0.000

3.
# K5TlHg2, optimized geometry, DFT PBE-GGA
# density of states at the Fermi level = 4.23 states/eV/f.u.
# DFT formation energy = -0.147 eV per atom
# final energy = -1.204 eV per atom
data_K5TlHg2
_space_group_name_H-M_alt 'I 4/m c m'
_space_group_IT_number 140
_space_group_name_Hall '-I 4 2c'
_cell_length_a 9.231
_cell_length_b 9.231
_cell_length_c 16.964
_cell_angle_alpha 90.00
_cell_angle_beta 90.00
_cell_angle_gamma 90.00
loop_
_atom_site_label
_atom_site_type_symbol
_atom_site_fract_x
_atom_site_fract_y
_atom_site_fract_z
K1 K 0.000 0.000 0.000
K2 K 0.171 0.329 0.146
Tl1 Tl 0.000 0.000 0.250
Hg1 Hg 0.118 0.382 0.500

4.
# ScCO2, optimized geometry, DFT PBE-GGA
# uncorrected formation energy = -0.443 eV per atom
# density of states at the Fermi level = 0.91 states/eV/f.u.
# final energy = -6.811 eV per atom
data_ScCO2
_space_group_name_H-M_alt 'I -4 2 d'
_space_group_IT_number 122
_space_group_name_Hall 'I -4 2bw'
_cell_length_a 3.993
_cell_length_b 3.993
_cell_length_c 11.727
_cell_angle_alpha 90.00
_cell_angle_beta 90.00
_cell_angle_gamma 90.00
loop_
_atom_site_label
_atom_site_type_symbol
_atom_site_fract_x
_atom_site_fract_y
_atom_site_fract_z
Sc1 Sc 0.000 0.000 0.000
C1 C 0.000 0.000 0.500
O1 O 0.241 0.250 0.625

5.
# RbTi2AlO6, optimized geometry, DFT PBE-GGA
# uncorrected formation energy = -2.853 eV per atom
# density of states at the Fermi level = 0.00 states/eV/f.u.
# final energy = -7.878 eV per atom
data_RbTi2AlO6
_space_group_name_H-M_alt 'C 1 2/c 1'
_space_group_IT_number 15
_space_group_name_Hall '-C 2yc'
_cell_length_a 9.162
_cell_length_b 11.947
_cell_length_c 6.222
_cell_angle_alpha 90.00
_cell_angle_beta 111.08
_cell_angle_gamma 90.00
loop_
_atom_site_label
_atom_site_type_symbol
_atom_site_fract_x
_atom_site_fract_y
_atom_site_fract_z
Rb1 Rb 0.000 0.103 0.250
Ti1 Ti 0.143 0.419 0.145
Al1 Al 0.000 0.209 0.750
O1 O 0.059 0.289 0.005
O2 O 0.126 0.467 0.435
O3 O 0.150 0.115 0.748

6.
# Pm3In7Ir2, optimized geometry, DFT PBE-GGA
# density of states at the Fermi level = 5.96 states/eV/f.u.
# DFT formation energy = -0.408 eV per atom
# final energy = -4.670 eV per atom
data_Pm3In7Ir2
_space_group_name_H-M_alt 'C m m m'
_space_group_IT_number 65
_space_group_name_Hall '-C 2 2'
_cell_length_a 4.708
_cell_length_b 28.011
_cell_length_c 4.645
_cell_angle_alpha 90.00
_cell_angle_beta 90.00
_cell_angle_gamma 90.00
loop_
_atom_site_label
_atom_site_type_symbol
_atom_site_fract_x
_atom_site_fract_y
_atom_site_fract_z
Pm1 Pm 0.000 0.000 0.000
Pm2 Pm 0.000 0.199 0.500
In1 In 0.000 0.083 0.500
In2 In 0.000 0.304 0.000
In3 In 0.000 0.415 0.000
In4 In 0.000 0.500 0.500
Ir1 Ir 0.000 0.135 0.000

7.
# Cs2LaS10, optimized geometry, DFT PBE-GGA
# uncorrected formation energy = -0.535 eV per atom
# density of states at the Fermi level = 11.13 states/eV/f.u.
# final energy = -4.221 eV per atom
data_Cs2LaS10
_space_group_name_H-M_alt 'P b a m'
_space_group_IT_number 55
_space_group_name_Hall '-P 2 2ab'
_cell_length_a 6.544
_cell_length_b 26.252
_cell_length_c 5.184
_cell_angle_alpha 90.00
_cell_angle_beta 90.00
_cell_angle_gamma 90.00
loop_
_atom_site_label
_atom_site_type_symbol
_atom_site_fract_x
_atom_site_fract_y
_atom_site_fract_z
Cs1 Cs 0.015 0.136 0.000
La1 La 0.000 0.500 0.500
S1 S 0.014 0.406 0.197
S2 S 0.081 0.033 0.500
S3 S 0.183 0.715 0.500
S4 S 0.228 0.285 0.500

8.
# BeAsI2O, optimized geometry, DFT PBE-GGA
# uncorrected formation energy = 0.339 eV per atom
# density of states at the Fermi level = 1.89 states/eV/f.u.
# final energy = -2.948 eV per atom
data_BeAsI2O
_space_group_name_H-M_alt 'P 4/m m m'
_space_group_IT_number 123
_space_group_name_Hall '-P 4 2'
_cell_length_a 5.767
_cell_length_b 5.767
_cell_length_c 3.805
_cell_angle_alpha 90.00
_cell_angle_beta 90.00
_cell_angle_gamma 90.00
loop_
_atom_site_label
_atom_site_type_symbol
_atom_site_fract_x
_atom_site_fract_y
_atom_site_fract_z
Be1 Be 0.000 0.000 0.000
As1 As 0.500 0.500 0.500
I1 I 0.000 0.500 0.500
O1 O 0.500 0.500 0.000

What did the third record say?
# K5TlHg2, optimized geometry, DFT PBE-GGA
# density of states at the Fermi level = 4.23 states/eV/f.u.
# DFT formation energy = -0.147 eV per atom
# final energy = -1.204 eV per atom
data_K5TlHg2
_space_group_name_H-M_alt 'I 4/m c m'
_space_group_IT_number 140
_space_group_name_Hall '-I 4 2c'
_cell_length_a 9.231
_cell_length_b 9.231
_cell_length_c 16.964
_cell_angle_alpha 90.00
_cell_angle_beta 90.00
_cell_angle_gamma 90.00
loop_
_atom_site_label
_atom_site_type_symbol
_atom_site_fract_x
_atom_site_fract_y
_atom_site_fract_z
K1 K 0.000 0.000 0.000
K2 K 0.171 0.329 0.146
Tl1 Tl 0.000 0.000 0.250
Hg1 Hg 0.118 0.382 0.500